Entry 1:
A plane-wave DFT calculation with PBE was carried out for a relaxed KLaSb2 crystal.

Cell: 11.092 11.092 11.092 Å, 19.33 19.33 19.33°
Sites, in units of the cell vectors:
La 0.750 0.750 0.750
K 0.250 0.250 0.250
Sb 0.497 0.497 0.497
Sb 0.003 0.003 0.003

Summary:
Energy above the lowest structure with this stoichiometry (meV/atom): 339.8
E (eV/atom): -3.98
Formation energy from raw total energies (meV per atom): -409


Entry 2:
A plane-wave DFT calculation with PBE was carried out for a relaxed TaCoSnHg2 crystal.

Cell: 4.958 4.557 4.958 Å, 90.00 90.00 90.00°
Sites, in units of the cell vectors:
Ta 0.000 0.500 0.000
Hg 0.000 0.000 0.500
Sn 0.500 0.500 0.500
Hg 0.500 0.000 0.000
Co 0.000 0.000 0.000

Summary:
E (eV/atom): -4.07


Entry 3:
A plane-wave DFT calculation with PBE was carried out for a relaxed Ac8Ir3Cl4O crystal.

Cell: 8.460 9.417 8.567 Å, 117.49 119.59 90.00°
Sites, in units of the cell vectors:
Ac 0.223 0.694 0.971
Ac 0.734 0.701 0.468
Cl 0.500 0.000 0.500
Ac 0.748 0.694 0.971
Cl 0.000 0.000 0.000
Cl 0.000 0.000 0.500
Ir 0.000 0.500 0.500
Ac 0.266 0.299 0.532
Cl 0.500 0.000 0.000
Ac 0.243 0.710 0.485
Ac 0.252 0.306 0.029
Ir 0.500 0.500 0.500
Ac 0.757 0.290 0.515
Ir 0.500 0.500 0.000
O 0.000 0.500 0.000
Ac 0.777 0.306 0.029

Summary:
E (eV/atom): -5.90
Formation energy from raw total energies (meV per atom): -1417


Entry 4:
A plane-wave DFT calculation with PBE was carried out for a relaxed Ba2SrCaGa crystal.

Cell: 6.576 6.576 6.025 Å, 90.00 90.00 90.00°
Sites, in units of the cell vectors:
Sr 0.500 0.500 0.500
Ca 0.000 0.000 0.500
Ga 0.000 0.000 0.000
Ba 0.000 0.500 0.000
Ba 0.500 0.000 0.000

Summary:
Energy above the lowest structure with this stoichiometry (meV/atom): 0.0
E (eV/atom): -2.15


Copy entry 4 word for word.
A plane-wave DFT calculation with PBE was carried out for a relaxed Ba2SrCaGa crystal.

Cell: 6.576 6.576 6.025 Å, 90.00 90.00 90.00°
Sites, in units of the cell vectors:
Sr 0.500 0.500 0.500
Ca 0.000 0.000 0.500
Ga 0.000 0.000 0.000
Ba 0.000 0.500 0.000
Ba 0.500 0.000 0.000

Summary:
Energy above the lowest structure with this stoichiometry (meV/atom): 0.0
E (eV/atom): -2.15


Copy entry 2 word for word.
A plane-wave DFT calculation with PBE was carried out for a relaxed TaCoSnHg2 crystal.

Cell: 4.958 4.557 4.958 Å, 90.00 90.00 90.00°
Sites, in units of the cell vectors:
Ta 0.000 0.500 0.000
Hg 0.000 0.000 0.500
Sn 0.500 0.500 0.500
Hg 0.500 0.000 0.000
Co 0.000 0.000 0.000

Summary:
E (eV/atom): -4.07


Q: Among the records above, which one has the highest E?
A: Ba2SrCaGa